Material: Pu2CuOs
Method: DFT, GGA-PBE
State: optimized geometry

abc: 3.222 3.222 7.740
angles: 90.00 90.00 90.00
Positions (direct):
Pu 0.000 0.000 0.235
Pu 0.000 0.000 0.765
Cu 0.500 0.500 0.500
Os 0.500 0.500 0.000

Results
As for the space-group type: P4/mmm, No. 123. The calculation puts the energy relative to the elements at 0.0038 eV per atom. As for the volume: 20.1 Å³ per atom.